Model P:
Here is an optimized crystal structure of BiTe2S from the Alexandria database. Energies are from PBE-GGA.

```
4
Lattice="2.202 1.271 8.844 -2.202 1.271 8.844 0.000 -2.542 8.844" Properties=species:S:1:pos:R:3 pbc="T T T"
Bi 0.000 0.000 0.000
Te 0.000 0.000 10.753
Te 0.000 0.000 15.778
S 0.000 0.000 13.265
```

Output
size of the total moment = 0.0 μB/f.u.

---

Model Q:
Here is an optimized crystal structure of BiTe2S from the Alexandria database. Energies are from PBE-GGA.

```
4
Lattice="1.748 1.009 10.483 -1.748 1.009 10.483 0.000 -2.019 10.483" Properties=species:S:1:pos:R:3 pbc="T T T"
Bi 0.000 0.000 0.000
Te 0.000 0.000 3.185
Te 0.000 0.000 28.265
S 0.000 0.000 15.725
```

Output
size of the total moment = 0.0 μB/f.u.

---

Model R:
Here is an optimized crystal structure of BiTe2S from the Alexandria database. Energies are from PBE-GGA.

```
4
Lattice="0.000 3.750 3.750 3.750 0.000 3.750 3.750 3.750 0.000" Properties=species:S:1:pos:R:3 pbc="T T T"
Bi 0.000 0.000 0.000
Te 1.875 1.875 1.875
Te 5.625 5.625 5.625
S 3.750 3.750 3.750
```

Output
size of the total moment = 0.0 μB/f.u.

---

Least stable structure: model R

---

Model P:
Here is an optimized crystal structure of Bi2Te2S from the Alexandria database. Energies are from PBE-GGA.

```
5
Lattice="9.314 -2.219 0.000 9.314 2.219 0.000 -0.817 0.000 4.410" Properties=species:S:1:pos:R:3 pbc="T T T"
Bi 2.489 0.000 0.487
Bi 15.323 0.000 3.923
Te 5.790 0.000 1.436
Te 12.022 0.000 2.974
S 0.000 0.000 0.000
```

Output
size of the total moment = 0.0 μB/f.u.

---

Model Q:
Here is an optimized crystal structure of Bi2Te2S from the Alexandria database. Energies are from PBE-GGA.

```
5
Lattice="2.157 1.245 10.309 -2.157 1.245 10.309 0.000 -2.490 10.309" Properties=species:S:1:pos:R:3 pbc="T T T"
Bi 0.000 0.000 0.000
Bi 0.000 0.000 6.077
Te 0.000 0.000 12.088
Te 0.000 0.000 18.461
S 0.000 0.000 25.392
```

Output
size of the total moment = 0.0 μB/f.u.

---

Model R:
Here is an optimized crystal structure of Bi2Te2S from the Alexandria database. Energies are from PBE-GGA.

```
10
Lattice="6.294 0.000 0.000 0.000 4.442 0.000 -2.582 0.000 12.034" Properties=species:S:1:pos:R:3 pbc="T T T"
Bi 0.227 1.111 1.733
Bi 0.255 1.111 7.107
Bi 3.457 3.332 4.927
Bi 3.485 3.332 10.301
Te 0.263 3.332 4.684
Te 0.326 3.332 9.221
Te 3.386 1.111 2.813
Te 3.449 1.111 7.350
S 1.293 3.332 0.545
S 2.419 1.111 11.489
```

Output
size of the total moment = 0.0 μB/f.u.

---

Least stable structure: model P

---

Model P:
Here is an optimized crystal structure of Bi2Te2S from the Alexandria database. Energies are from PBE-GGA.

```
10
Lattice="-4.121 5.986 3.256 4.121 -5.986 3.256 4.121 5.986 -3.256" Properties=species:S:1:pos:R:3 pbc="T T T"
Bi 1.952 1.209 0.000
Bi 1.952 -1.209 3.256
Bi 2.169 7.195 0.000
Bi 2.169 4.778 3.256
Te 5.225 1.704 0.000
Te 1.103 4.282 0.000
Te 3.018 1.704 3.256
Te -1.103 4.282 3.256
S 0.000 0.000 1.628
S 0.000 0.000 4.884
```

Output
size of the total moment = 0.0 μB/f.u.

---

Model Q:
Here is an optimized crystal structure of Bi2Te2S from the Alexandria database. Energies are from PBE-GGA.

```
5
Lattice="2.146 1.239 10.567 -2.146 1.239 10.567 0.000 -2.478 10.567" Properties=species:S:1:pos:R:3 pbc="T T T"
Bi 0.000 0.000 3.540
Bi 0.000 0.000 28.161
Te 0.000 0.000 8.820
Te 0.000 0.000 22.881
S 0.000 0.000 15.850
```

Output
size of the total moment = 0.0 μB/f.u.

---

Least stable structure: model P

---

Model P:
Here is an optimized crystal structure of Bi2TeS from the Alexandria database. Energies are from PBE-GGA.

```
8
Lattice="-4.033 4.033 3.718 4.033 -4.033 3.718 4.033 4.033 -3.718" Properties=species:S:1:pos:R:3 pbc="T T T"
Bi 6.050 1.796 -0.929
Bi 1.796 2.017 0.929
Bi -2.017 2.237 2.788
Bi 2.237 2.017 4.647
Te 4.033 0.000 1.859
Te 0.000 0.000 3.718
S 0.000 0.000 0.000
S 0.000 4.033 1.859
```

Output
size of the total moment = 0.0 μB/f.u.

---

Model Q:
Here is an optimized crystal structure of Bi2TeS from the Alexandria database. Energies are from PBE-GGA.

```
4
Lattice="2.324 1.342 6.270 -2.324 1.342 6.270 0.000 -2.683 6.270" Properties=species:S:1:pos:R:3 pbc="T T T"
Bi 0.000 0.000 4.435
Bi 0.000 0.000 14.375
Te 0.000 0.000 0.000
S 0.000 0.000 9.405
```

Output
size of the total moment = 0.0 μB/f.u.

---

Least stable structure: model P

---

Model P:
Here is an optimized crystal structure of Bi2TeS from the Alexandria database. Energies are from PBE-GGA.

```
4
Lattice="1.999 1.154 8.389 -1.999 1.154 8.389 0.000 -2.309 8.389" Properties=species:S:1:pos:R:3 pbc="T T T"
Bi 0.000 0.000 0.000
Bi 0.000 0.000 4.561
Te 0.000 0.000 19.135
S 0.000 0.000 14.754
```

Output
size of the total moment = 0.0 μB/f.u.

---

Model Q:
Here is an optimized crystal structure of Bi2TeS from the Alexandria database. Energies are from PBE-GGA.

```
4
Lattice="0.000 3.760 3.760 3.760 0.000 3.760 3.760 3.760 0.000" Properties=species:S:1:pos:R:3 pbc="T T T"
Bi 1.880 1.880 1.880
Bi 5.639 5.639 5.639
Te 0.000 0.000 0.000
S 3.760 3.760 3.760
```

Output
size of the total moment = 0.0 μB/f.u.

---

Least stable structure: model Q

---

Model P:
Here is an optimized crystal structure of Bi2TeS6 from the Alexandria database. Energies are from PBE-GGA.

```
18
Lattice="6.290 0.000 0.000 0.000 6.290 0.000 0.000 0.000 12.538" Properties=species:S:1:pos:R:3 pbc="T T T"
Bi 0.000 0.000 2.084
Bi 0.000 0.000 10.454
Bi 3.145 3.145 4.185
Bi 3.145 3.145 8.354
Te 0.000 0.000 6.269
Te 3.145 3.145 0.000
S 1.185 1.185 4.274
S 1.185 1.185 8.265
S 1.300 1.300 0.000
S 1.845 4.445 6.269
S 1.960 4.330 1.996
S 1.960 4.330 10.543
S 4.330 1.960 1.996
S 4.330 1.960 10.543
S 4.445 1.845 6.269
S 4.990 4.990 0.000
S 5.105 5.105 4.274
S 5.105 5.105 8.265
```

Output
size of the total moment = 0.0 μB/f.u.

---

Model Q:
Here is an optimized crystal structure of Bi2TeS6 from the Alexandria database. Energies are from PBE-GGA.

```
9
Lattice="6.044 -1.933 0.000 6.044 1.933 0.000 -4.369 0.000 10.012" Properties=species:S:1:pos:R:3 pbc="T T T"
Bi 0.581 0.000 3.336
Bi 7.138 0.000 6.677
Te 6.044 0.000 0.000
S -0.694 0.000 5.793
S 1.703 0.000 0.721
S 4.859 0.000 2.367
S 2.860 0.000 7.645
S 6.016 0.000 9.292
S 8.413 0.000 4.220
```

Output
size of the total moment = 0.0 μB/f.u.

---

Least stable structure: model P

---

Model P:
Here is an optimized crystal structure of Th2BiS from the Alexandria database. Energies are from PBE-GGA.

```
4
Lattice="2.104 1.215 7.514 -2.104 1.215 7.514 0.000 -2.429 7.514" Properties=species:S:1:pos:R:3 pbc="T T T"
Th 0.000 0.000 0.000
Th 0.000 0.000 4.436
Bi 0.000 0.000 9.712
S 0.000 0.000 13.501
```

Output
size of the total moment = 0.0 μB/f.u.

---

Model Q:
Here is an optimized crystal structure of Th2BiS from the Alexandria database. Energies are from PBE-GGA.

```
4
Lattice="2.150 1.241 7.133 -2.150 1.241 7.133 0.000 -2.483 7.133" Properties=species:S:1:pos:R:3 pbc="T T T"
Th 0.000 0.000 5.015
Th 0.000 0.000 16.384
Bi 0.000 0.000 0.000
S 0.000 0.000 10.700
```

Output
size of the total moment = 0.0 μB/f.u.

---

Least stable structure: model P

---

Model P:
Here is an optimized crystal structure of ThBiS from the Alexandria database. Energies are from PBE-GGA.

```
3
Lattice="-1.847 1.847 6.172 1.847 -1.847 6.172 1.847 1.847 -6.172" Properties=species:S:1:pos:R:3 pbc="T T T"
Th 0.000 0.000 0.000
Bi 0.000 0.000 3.641
S 0.000 0.000 7.255
```

Output
size of the total moment = 0.0 μB/f.u.

---

Model Q:
Here is an optimized crystal structure of ThBiS from the Alexandria database. Energies are from PBE-GGA.

```
6
Lattice="4.561 0.000 0.000 0.000 4.561 0.000 0.000 0.000 8.202" Properties=species:S:1:pos:R:3 pbc="T T T"
Th 1.140 1.140 1.635
Th 3.421 3.421 6.568
Bi 1.140 1.140 4.961
Bi 3.421 3.421 3.242
S 1.140 3.421 0.000
S 3.421 1.140 0.000
```

Output
size of the total moment = 0.0 μB/f.u.

---

Least stable structure: model P

---

Model P:
Here is an optimized crystal structure of Ti2Bi2S from the Alexandria database. Energies are from PBE-GGA.

```
10
Lattice="6.426 0.000 0.000 0.000 6.426 0.000 0.000 0.000 5.305" Properties=species:S:1:pos:R:3 pbc="T T T"
Ti 1.047 2.166 0.000
Ti 2.166 5.379 0.000
Ti 4.260 1.047 0.000
Ti 5.379 4.260 0.000
Bi 1.149 4.362 2.652
Bi 2.064 1.149 2.652
Bi 4.362 5.277 2.652
Bi 5.277 2.064 2.652
S 0.000 0.000 0.000
S 3.213 3.213 0.000
```

Output
size of the total moment = 0.0 μB/f.u.

---

Model Q:
Here is an optimized crystal structure of Ti2Bi2S from the Alexandria database. Energies are from PBE-GGA.

```
10
Lattice="7.999 0.000 0.000 0.000 7.999 0.000 0.000 0.000 3.645" Properties=species:S:1:pos:R:3 pbc="T T T"
Ti 0.968 3.032 0.000
Ti 3.032 7.031 0.000
Ti 4.968 0.968 0.000
Ti 7.031 4.968 0.000
Bi 1.361 5.361 1.823
Bi 2.638 1.361 1.823
Bi 5.361 6.638 1.823
Bi 6.638 2.638 1.823
S 0.000 0.000 1.823
S 4.000 4.000 1.823
```

Output
size of the total moment = 0.0 μB/f.u.

---

Model R:
Here is an optimized crystal structure of Ti2Bi2S from the Alexandria database. Energies are from PBE-GGA.

```
5
Lattice="-2.649 2.649 4.649 2.649 -2.649 4.649 2.649 2.649 -4.649" Properties=species:S:1:pos:R:3 pbc="T T T"
Ti 2.649 0.000 2.324
Ti 0.000 2.649 2.324
Bi 0.000 0.000 1.476
Bi 0.000 0.000 7.822
S 0.000 0.000 4.649
```

Output
size of the total moment = 1.4 μB/f.u.

---

Least stable structure: model R

---

Model P:
Here is an optimized crystal structure of Ti4BiS8 from the Alexandria database. Energies are from PBE-GGA.

```
13
Lattice="0.000 5.212 5.212 5.212 0.000 5.212 5.212 5.212 0.000" Properties=species:S:1:pos:R:3 pbc="T T T"
Ti 1.158 1.158 1.158
Ti 4.054 4.054 1.158
Ti 4.054 1.158 4.054
Ti 1.158 4.054 4.054
Bi 5.212 5.212 5.212
S 3.696 3.696 3.696
S 6.728 6.728 3.696
S 6.728 3.696 6.728
S 9.179 6.457 6.457
S 6.457 9.179 6.457
S 6.457 6.457 9.179
S 9.179 9.179 9.179
S 3.696 6.728 6.728
```

Output
size of the total moment = 3.0 μB/f.u.

---

Model Q:
Here is an optimized crystal structure of Ti4BiS8 from the Alexandria database. Energies are from PBE-GGA.

```
13
Lattice="3.427 1.978 6.906 -3.427 1.978 6.906 0.000 -3.957 6.906" Properties=species:S:1:pos:R:3 pbc="T T T"
Ti 0.000 0.000 0.000
Ti -1.713 -0.989 6.906
Ti -1.713 0.989 13.813
Ti 0.000 1.978 6.906
Bi 0.000 0.000 10.360
S 0.000 -1.975 8.376
S -1.711 0.988 8.376
S -1.711 -0.988 12.343
S 0.000 0.000 5.490
S 0.000 0.000 15.229
S 1.711 0.988 8.376
S 1.711 -0.988 12.343
S 0.000 1.975 12.343
```

Output
size of the total moment = 0.0 μB/f.u.

---

Least stable structure: model P

---

Model P:
Here is an optimized crystal structure of TlBi2S from the Alexandria database. Energies are from PBE-GGA.

```
4
Lattice="0.000 3.770 3.770 3.770 0.000 3.770 3.770 3.770 0.000" Properties=species:S:1:pos:R:3 pbc="T T T"
Tl 0.000 0.000 0.000
Bi 1.885 1.885 1.885
Bi 5.654 5.654 5.654
S 3.770 3.770 3.770
```

Output
size of the total moment = 0.0 μB/f.u.

---

Model Q:
Here is an optimized crystal structure of TlBi2S from the Alexandria database. Energies are from PBE-GGA.

```
8
Lattice="-2.409 2.409 10.783 2.409 -2.409 10.783 2.409 2.409 -10.783" Properties=species:S:1:pos:R:3 pbc="T T T"
Tl 0.000 0.000 0.000
Tl 0.000 2.409 5.391
Bi 1.205 -0.954 8.087
Bi 1.455 1.205 2.696
Bi 1.205 3.363 -2.696
Bi 0.954 1.205 13.478
S 2.409 0.000 5.391
S 0.000 0.000 10.783
```

Output
size of the total moment = 0.0 μB/f.u.

---

Least stable structure: model P